The following is a GGA+U calculation of a relaxed Li2NiO3 crystal, from Alexandria.

Cell and atoms, written as CIF:
```
data_Li2NiO3
_chemical_formula_sum 'Li16 Ni8 O24'
_cell_length_a 4.8916
_cell_length_b 8.4768
_cell_length_c 9.6006
_cell_angle_alpha 90.00
_cell_angle_beta 99.95
_cell_angle_gamma 90.00
_symmetry_space_group_name_H-M 'C 1 2/c 1'
_symmetry_Int_Tables_number 15
_symmetry_space_group_name_Hall '-C 2yc'
loop_
_atom_site_label
_atom_site_type_symbol
_atom_site_fract_x
_atom_site_fract_y
_atom_site_fract_z
Li1 Li 0.0000 0.0845 0.2500
Li2 Li 0.2428 0.0813 0.0001
Li3 Li 0.2500 0.2500 0.5000
Ni1 Ni 0.0000 0.2492 0.7500
Ni2 Ni 0.0000 0.4176 0.2500
O1 O 0.1042 0.4156 0.6396
O2 O 0.1416 0.0947 0.6379
O3 O 0.1421 0.2637 0.1394
```

Calculated values
The value obtained for the total DFT energy (no corrections) is -4.87 eV per atom.